Density functional theory data (PBE with a Hubbard U) for a relaxed FeClF crystal.

Geometry as POSCAR:
```
FeClF
1.0
6.733 0.000 0.000
0.000 6.016 0.280
0.000 -2.488 5.891
F Cl Fe
4 4 4
Cartesian
5.842 3.536 0.949
2.476 3.000 5.361
0.891 -0.008 5.222
4.258 0.528 0.809
0.687 0.401 1.569
2.679 3.409 1.708
4.054 0.119 4.462
6.046 3.127 4.602
2.496 1.445 0.165
0.870 4.453 0.304
4.237 2.082 6.006
5.863 -0.926 5.866
```

## Properties
electronic total energy	-58.547	eV per cell
N(E_F)	0.0	states/eV/f.u.
crystal system	monoclinic
size of the total moment	1.334	μB/atom
energy above the most stable polymorph in this dataset	0	meV per atom
space group	P2_1/c (14)